Record 1
LaPb3 GGA-PBE optimized geometry; E_form = -0.192 eV/atom
1.0
-0.097 -3.595 0.449
3.617 -0.123 -0.188
0.541 1.188 9.633
Pb La
3 1
direct
0.500 0.500 0.249
0.500 0.500 0.751
0.000 0.000 0.500
0.000 0.000 0.000

=====

Record 2
Hg2Sb GGA-PBE optimized geometry; formation energy without anion corrections = 0.14 eV per atom
1.0
-3.399 3.399 3.639
3.399 -3.399 3.639
3.399 3.399 -3.639
Hg Sb
4 2
direct
0.656 0.156 0.813
0.344 0.844 0.187
0.156 0.344 0.500
0.844 0.656 0.500
0.250 0.250 0.000
0.750 0.750 0.000

=====

| no. | total magnetic moment (Bohr magnetons per cell) | total energy (eV/cell) | N(E_F) (states/eV/cell) |
| --- | --- | --- | --- |
| 1 | 0.00 | -16.82 | 2.68 |
| 2 | 0.00 | -8.58 | 2.27 |